[1]
Li2PrSbS4: optimized geometry, PBE-GGA.

Cell lengths 4.0007, 6.6391, 6.9463 Å; angles 69.68, 90.00, 90.00 degrees
Fractional positions:
Pr (0.0000, 0.5000, 0.5000)
S (0.5000, 0.2425, 0.7616)
Li (0.5000, 0.0000, 0.5000)
S (0.0000, 0.7569, 0.7556)
Sb (0.5000, 0.5000, 0.0000)
Li (0.0000, 0.0000, 0.0000)
S (0.0000, 0.2431, 0.2444)
S (0.5000, 0.7575, 0.2384)

Calculated values
As for the energy relative to the elements, uncorrected: -1.20 eV per atom. As for the crystal system: monoclinic.



[2]
CuGe2HPt: optimized geometry, PBE-GGA.

Cell lengths 4.8868, 3.0372, 4.8868 Å; angles 90.00, 90.00, 90.00 degrees
Fractional positions:
Ge (0.5000, 0.0000, 0.0000)
Pt (0.5000, 0.5000, 0.5000)
Ge (0.0000, 0.0000, 0.5000)
Cu (0.0000, 0.0000, 0.0000)
H (0.0000, 0.5000, 0.0000)

Calculated values
The final energy is -4.293 eV per atom. The value obtained for the density of states at the Fermi level is 2.85 states/eV/f.u. As for the crystal system: tetragonal.



[3]
Sr2CuRuC: optimized geometry, PBE-GGA.

Cell lengths 5.4656, 5.4656, 3.8746 Å; angles 90.00, 90.00, 90.00 degrees
Fractional positions:
C (0.0000, 0.0000, 0.0000)
Sr (0.5000, 0.0000, 0.0000)
Sr (0.0000, 0.5000, 0.0000)
Ru (0.0000, 0.0000, 0.5000)
Cu (0.5000, 0.5000, 0.5000)

Calculated values
The calculation puts the formation energy at 187.5 meV/atom. The value obtained for the density of states at the Fermi level is 3.84 states/eV/f.u. As for the crystal system: tetragonal.



[4]
MnZn2Os: optimized geometry, PBE-GGA.

Cell lengths 4.2784, 4.2784, 4.2784 Å; angles 60.00, 60.00, 60.00 degrees
Last column: magnetic moment on the atom in μB.
Fractional positions:
Zn (0.2500, 0.2500, 0.2500)  -0.01
Os (0.5000, 0.5000, 0.5000)  0.29
Zn (0.7500, 0.7500, 0.7500)  -0.01
Mn (0.0000, 0.0000, 0.0000)  3.37

Calculated values
The calculation puts the formation energy at 182.1 meV/atom. The value obtained for the density of states at the Fermi level is 2.57 states/eV/f.u. As for the crystal system: cubic.